The following is a PBE calculation of a geometry-optimized ScTaTcCl2 structure, from Alexandria via LeMat-Bulk.

abc: 4.6587 5.1673 4.6587
angles: 90.00 90.00 90.00
Atoms (fractional coordinates):
Sc (0.0000, 0.5000, 0.0000)
Cl (0.0000, 0.0000, 0.5000)
Cl (0.5000, 0.0000, 0.0000)
Tc (0.0000, 0.0000, 0.0000)
Ta (0.5000, 0.5000, 0.5000)

Uncorrected formation energy in meV/atom: 1035
D(E_F) in states/eV/atom: 1.26

=====

The following is a PBE calculation of a geometry-optimized ScTa2TeCl structure, from Alexandria via LeMat-Bulk.

abc: 5.0844 5.5213 5.0844
angles: 90.00 90.00 90.00
Atoms (fractional coordinates):
Sc (0.0000, 0.5000, 0.0000)
Cl (0.5000, 0.5000, 0.5000)
Te (0.0000, 0.0000, 0.0000)
Ta (0.0000, 0.0000, 0.5000)
Ta (0.5000, 0.0000, 0.0000)

Uncorrected formation energy in meV/atom: 1379
D(E_F) in states/eV/atom: 1.24